Here is a relaxed Ho4MgCo crystal from the Alexandria database. Energies are from PBEsol.

Computed properties:
SG = No. 216
E_tot = -5.03 eV/atom

```
Ho4MgCo
1.0
0.0000 6.6208 6.6208
6.6208 0.0000 6.6208
6.6208 6.6208 0.0000
Ho Mg Co
16 4 4
Direct
0.0317 0.6561 0.6561
0.0624 0.0624 0.4376
0.0624 0.4376 0.0624
0.0624 0.4376 0.4376
0.1860 0.1860 0.8140
0.1860 0.8140 0.1860
0.1860 0.8140 0.8140
0.4376 0.0624 0.0624
0.4376 0.0624 0.4376
0.4376 0.4376 0.0624
0.6561 0.0317 0.6561
0.6561 0.6561 0.0317
0.6561 0.6561 0.6561
0.8140 0.1860 0.1860
0.8140 0.1860 0.8140
0.8140 0.8140 0.1860
0.4204 0.4204 0.4204
0.4204 0.4204 0.7387
0.4204 0.7387 0.4204
0.7387 0.4204 0.4204
0.4224 0.8592 0.8592
0.8592 0.4224 0.8592
0.8592 0.8592 0.4224
0.8592 0.8592 0.8592
```